1.
Computed, not measured: a relaxed structure of Ba4Bi2H at the PBE level of DFT. Values from VASP.

## Properties
Excess energy over the best structure of this formula in the dataset ... 1.2 kJ per mole of atoms
Symmetry ... P2_1/m (11)

```
&SYSTEM
  ibrav = 0, nat = 14, ntyp = 3
/
ATOMIC_SPECIES
Ba 137.33 Ba.upf
Bi 208.98 Bi.upf
H 1.01 H.upf
CELL_PARAMETERS angstrom
7.6852 0.0000 0.0000
0.0000 7.8768 0.0000
-3.3496 0.0000 9.5844
ATOMIC_POSITIONS crystal
Ba 0.0015 0.0016 0.2561
Ba 0.0015 0.4984 0.2561
Ba 0.4047 0.7500 0.0891
Ba 0.4194 0.7500 0.6165
Ba 0.5806 0.2500 0.3835
Ba 0.5953 0.2500 0.9109
Ba 0.9985 0.5016 0.7439
Ba 0.9985 0.9984 0.7439
Bi 0.2225 0.2500 0.0523
Bi 0.2475 0.2500 0.5654
Bi 0.7525 0.7500 0.4346
Bi 0.7775 0.7500 0.9477
H 0.2389 0.7500 0.8074
H 0.7611 0.2500 0.1926
```

=====

2.
Computed, not measured: a relaxed structure of Ba6Bi3H at the PBE level of DFT. Values from VASP.

## Properties
Electronic total energy ... -3.356 eV/atom
Symmetry ... Cmc2_1 (36)

```
&SYSTEM
  ibrav = 0, nat = 20, ntyp = 3
/
ATOMIC_SPECIES
Ba 137.33 Ba.upf
Bi 208.98 Bi.upf
H 1.01 H.upf
CELL_PARAMETERS angstrom
6.8133 -8.5161 0.0000
6.8133 8.5161 0.0000
0.0000 0.0000 8.2288
ATOMIC_POSITIONS crystal
Ba 0.0454 0.9546 0.5000
Ba 0.1083 0.5787 0.5236
Ba 0.2183 0.7817 0.0384
Ba 0.3185 0.3581 0.0454
Ba 0.3581 0.3185 0.5454
Ba 0.4213 0.8917 0.5236
Ba 0.5787 0.1083 0.0236
Ba 0.6419 0.6815 0.0454
Ba 0.6815 0.6419 0.5454
Ba 0.7817 0.2183 0.5384
Ba 0.8917 0.4213 0.0236
Ba 0.9546 0.0454 0.0000
Bi 0.0665 0.2822 0.3190
Bi 0.2822 0.0665 0.8190
Bi 0.3836 0.6164 0.7669
Bi 0.6164 0.3836 0.2669
Bi 0.7178 0.9335 0.3190
Bi 0.9335 0.7178 0.8190
H 0.1942 0.8058 0.3798
H 0.8058 0.1942 0.8798
```

=====

3.
Computed, not measured: a relaxed structure of Ba4BiH at the PBE level of DFT. Values from VASP.

## Properties
Electronic total energy ... -2.885 eV/atom
Symmetry ... C2/c (15)

```
&SYSTEM
  ibrav = 0, nat = 12, ntyp = 3
/
ATOMIC_SPECIES
Ba 137.33 Ba.upf
Bi 208.98 Bi.upf
H 1.01 H.upf
CELL_PARAMETERS angstrom
5.1099 -8.5732 0.0000
5.1099 8.5732 0.0000
-4.3926 0.0000 6.2053
ATOMIC_POSITIONS crystal
Ba 0.0760 0.6696 0.9002
Ba 0.1972 0.2904 0.7130
Ba 0.2904 0.1972 0.2130
Ba 0.3304 0.9240 0.5998
Ba 0.6696 0.0760 0.4002
Ba 0.7096 0.8028 0.7870
Ba 0.8028 0.7096 0.2870
Ba 0.9240 0.3304 0.0998
Bi 0.3837 0.6163 0.2500
Bi 0.6163 0.3837 0.7500
H 0.1027 0.8973 0.2500
H 0.8973 0.1027 0.7500
```

=====

4.
Computed, not measured: a relaxed structure of BaBiH6 at the PBE level of DFT. Values from VASP.

## Properties
Electronic total energy ... -2.986 eV/atom
Symmetry ... C2/m (12)

```
&SYSTEM
  ibrav = 0, nat = 16, ntyp = 3
/
ATOMIC_SPECIES
Ba 137.33 Ba.upf
Bi 208.98 Bi.upf
H 1.01 H.upf
CELL_PARAMETERS angstrom
8.6634 0.0000 0.0000
0.0000 4.9925 0.0000
-2.8999 0.0000 5.1169
ATOMIC_POSITIONS crystal
Ba 0.0000 0.0000 0.0000
Ba 0.5000 0.5000 0.0000
Bi 0.0000 0.5000 0.5000
Bi 0.5000 0.0000 0.5000
H 0.1072 0.5000 0.2562
H 0.1757 0.2168 0.7448
H 0.1757 0.7832 0.7448
H 0.3243 0.2832 0.2552
H 0.3243 0.7168 0.2552
H 0.3928 0.0000 0.7438
H 0.6072 0.0000 0.2562
H 0.6757 0.2832 0.7448
H 0.6757 0.7168 0.7448
H 0.8243 0.2168 0.2552
H 0.8243 0.7832 0.2552
H 0.8928 0.5000 0.7438
```

=====

5.
Computed, not measured: a relaxed structure of Ba12Bi3H5 at the PBE level of DFT. Values from VASP.

## Properties
Electronic total energy ... -3.015 eV/atom
Symmetry ... Ia-3d (230)

```
&SYSTEM
  ibrav = 0, nat = 80, ntyp = 3
/
ATOMIC_SPECIES
Ba 137.33 Ba.upf
Bi 208.98 Bi.upf
H 1.01 H.upf
CELL_PARAMETERS angstrom
-9.2584 9.2584 9.2584
9.2584 -9.2584 9.2584
9.2584 9.2584 -9.2584
ATOMIC_POSITIONS crystal
Ba 0.0199 0.2113 0.1180
Ba 0.0199 0.3086 0.9019
Ba 0.0933 0.7113 0.6914
Ba 0.0933 0.8820 0.4019
Ba 0.0981 0.6180 0.4067
Ba 0.0981 0.9801 0.6914
Ba 0.1180 0.0199 0.2113
Ba 0.1180 0.5981 0.9067
Ba 0.1914 0.2113 0.5933
Ba 0.1914 0.4801 0.5981
Ba 0.2113 0.1180 0.0199
Ba 0.2113 0.5933 0.1914
Ba 0.2887 0.3086 0.9067
Ba 0.2887 0.4801 0.3820
Ba 0.3086 0.9019 0.0199
Ba 0.3086 0.9067 0.2887
Ba 0.3820 0.2887 0.4801
Ba 0.3820 0.5933 0.9019
Ba 0.4019 0.0933 0.8820
Ba 0.4019 0.8086 0.5199
Ba 0.4067 0.0981 0.6180
Ba 0.4067 0.8086 0.7887
Ba 0.4801 0.3820 0.2887
Ba 0.4801 0.5981 0.1914
Ba 0.5199 0.4019 0.8086
Ba 0.5199 0.6180 0.7113
Ba 0.5933 0.1914 0.2113
Ba 0.5933 0.9019 0.3820
Ba 0.5981 0.1914 0.4801
Ba 0.5981 0.9067 0.1180
Ba 0.6180 0.4067 0.0981
Ba 0.6180 0.7113 0.5199
Ba 0.6914 0.0933 0.7113
Ba 0.6914 0.0981 0.9801
Ba 0.7113 0.5199 0.6180
Ba 0.7113 0.6914 0.0933
Ba 0.7887 0.4067 0.8086
Ba 0.7887 0.8820 0.9801
Ba 0.8086 0.5199 0.4019
Ba 0.8086 0.7887 0.4067
Ba 0.8820 0.4019 0.0933
Ba 0.8820 0.9801 0.7887
Ba 0.9019 0.0199 0.3086
Ba 0.9019 0.3820 0.5933
Ba 0.9067 0.1180 0.5981
Ba 0.9067 0.2887 0.3086
Ba 0.9801 0.6914 0.0981
Ba 0.9801 0.7887 0.8820
Bi 0.1250 0.2500 0.3750
Bi 0.1250 0.3750 0.7500
Bi 0.2500 0.3750 0.1250
Bi 0.2500 0.8750 0.6250
Bi 0.3750 0.1250 0.2500
Bi 0.3750 0.7500 0.1250
Bi 0.6250 0.2500 0.8750
Bi 0.6250 0.8750 0.7500
Bi 0.7500 0.1250 0.3750
Bi 0.7500 0.6250 0.8750
Bi 0.8750 0.6250 0.2500
Bi 0.8750 0.7500 0.6250
H 0.0000 0.0000 0.0000
H 0.0000 0.0000 0.5000
H 0.0000 0.5000 0.0000
H 0.0000 0.5000 0.5000
H 0.1250 0.7500 0.8750
H 0.1250 0.8750 0.2500
H 0.2500 0.1250 0.8750
H 0.2500 0.6250 0.3750
H 0.3750 0.2500 0.6250
H 0.3750 0.6250 0.7500
H 0.5000 0.0000 0.0000
H 0.5000 0.0000 0.5000
H 0.5000 0.5000 0.0000
H 0.5000 0.5000 0.5000
H 0.6250 0.3750 0.2500
H 0.6250 0.7500 0.3750
H 0.7500 0.3750 0.6250
H 0.7500 0.8750 0.1250
H 0.8750 0.1250 0.7500
H 0.8750 0.2500 0.1250
```

=====

6.
Computed, not measured: a relaxed structure of Ba3Bi2H3 at the PBE level of DFT. Values from VASP.

## Properties
Electronic total energy ... -3.280 eV/atom
Symmetry ... P-62m (189)

```
&SYSTEM
  ibrav = 0, nat = 8, ntyp = 3
/
ATOMIC_SPECIES
Ba 137.33 Ba.upf
Bi 208.98 Bi.upf
H 1.01 H.upf
CELL_PARAMETERS angstrom
8.7795 0.0000 0.0000
-4.3898 7.6033 0.0000
0.0000 0.0000 3.5682
ATOMIC_POSITIONS crystal
Ba 0.0000 0.7361 0.0000
Ba 0.2639 0.2639 0.0000
Ba 0.7361 0.0000 0.0000
Bi 0.3333 0.6667 0.5000
Bi 0.6667 0.3333 0.5000
H 0.0000 0.1762 0.5000
H 0.1762 0.0000 0.5000
H 0.8238 0.8238 0.5000
```

=====

7.
Computed, not measured: a relaxed structure of Ba2BiH at the PBE level of DFT. Values from VASP.

## Properties
Excess energy over the best structure of this formula in the dataset ... 23.3 kJ per mole of atoms
Symmetry ... Fm-3m (225)

```
&SYSTEM
  ibrav = 0, nat = 16, ntyp = 3
/
ATOMIC_SPECIES
Ba 137.33 Ba.upf
Bi 208.98 Bi.upf
H 1.01 H.upf
CELL_PARAMETERS angstrom
8.2850 0.0000 0.0000
0.0000 8.2850 0.0000
0.0000 0.0000 8.2850
ATOMIC_POSITIONS crystal
Ba 0.2500 0.2500 0.2500
Ba 0.2500 0.2500 0.7500
Ba 0.2500 0.7500 0.2500
Ba 0.2500 0.7500 0.7500
Ba 0.7500 0.2500 0.2500
Ba 0.7500 0.2500 0.7500
Ba 0.7500 0.7500 0.2500
Ba 0.7500 0.7500 0.7500
Bi 0.0000 0.0000 0.0000
Bi 0.0000 0.5000 0.5000
Bi 0.5000 0.0000 0.5000
Bi 0.5000 0.5000 0.0000
H 0.0000 0.0000 0.5000
H 0.0000 0.5000 0.0000
H 0.5000 0.0000 0.0000
H 0.5000 0.5000 0.5000
```

=====

8.
Computed, not measured: a relaxed structure of BaBi3H at the PBE level of DFT. Values from VASP.

## Properties
Excess energy over the best structure of this formula in the dataset ... 4.9 kJ per mole of atoms
Symmetry ... Pm-3m (221)

```
&SYSTEM
  ibrav = 0, nat = 5, ntyp = 3
/
ATOMIC_SPECIES
Ba 137.33 Ba.upf
Bi 208.98 Bi.upf
H 1.01 H.upf
CELL_PARAMETERS angstrom
5.1966 0.0000 0.0000
0.0000 5.1966 0.0000
0.0000 0.0000 5.1966
ATOMIC_POSITIONS crystal
Ba 0.0000 0.0000 0.0000
Bi 0.0000 0.5000 0.5000
Bi 0.5000 0.0000 0.5000
Bi 0.5000 0.5000 0.0000
H 0.5000 0.5000 0.5000
```